[1]
SmYPu2Se4: relaxed, PBE.

Computed properties:
Size of the total moment ... 11.7 μB per formula unit
Space-group type ... P2/m
V ... 25.029 Å³/atom
ΔE_f (raw) ... -1.6855 eV per atom

a = 4.1242 Å, b = 7.1436 Å, c = 7.2016 Å
α = 109.31°, β = 90.00°, γ = 90.00°
With the nearest neighbours (Å) after each atom.
Element x y z (fractional)
Sm 0.5000 0.5000 0.0000  6 Se 2.94
Y 0.0000 0.0000 0.0000  6 Se 2.91
Pu 0.5000 0.0000 0.5000  6 Se 2.91
Pu 0.0000 0.5000 0.5000  6 Se 2.94
Se 0.5000 0.2460 0.2480  2 Y 2.91, 3 Pu 2.91-2.94, 1 Sm 2.94
Se 0.5000 0.7540 0.7520  2 Y 2.91, 3 Pu 2.91-2.94, 1 Sm 2.94
Se 0.0000 0.2465 0.7493  1 Y 2.91, 3 Pu 2.91-2.94, 2 Sm 2.94
Se 0.0000 0.7535 0.2507  1 Y 2.91, 3 Pu 2.91-2.94, 2 Sm 2.94


[2]
HoCu4Si4: relaxed, PBE.

Computed properties:
Size of the total moment ... 0.0 μB per formula unit
Space-group type ... P4_2/nmc
V ... 15.084 Å³/atom
ΔE_f (raw) ... -0.1348 eV per atom

a = 5.7568 Å, b = 5.7568 Å, c = 8.1925 Å
α = 90.00°, β = 90.00°, γ = 90.00°
With the nearest neighbours (Å) after each atom.
Element x y z (fractional)
Ho 0.0000 0.0000 0.0000  4 Si 2.94, 8 Cu 3.24
Ho 0.5000 0.5000 0.5000  4 Si 2.94, 8 Cu 3.24
Cu 0.2299 0.5000 0.9144  5 Si 2.38-2.49, 3 Cu 2.61-2.65
Cu 0.7701 0.5000 0.9144  5 Si 2.38-2.49, 3 Cu 2.61-2.65
Cu 0.5000 0.7701 0.0856  5 Si 2.38-2.49, 3 Cu 2.61-2.65
Cu 0.5000 0.2299 0.0856  5 Si 2.38-2.49, 3 Cu 2.61-2.65
Cu 0.0000 0.7299 0.4144  5 Si 2.38-2.49, 3 Cu 2.61-2.65
Cu 0.0000 0.2701 0.4144  5 Si 2.38-2.49, 3 Cu 2.61-2.65
Cu 0.2701 0.0000 0.5856  5 Si 2.38-2.49, 3 Cu 2.61-2.65
Cu 0.7299 0.0000 0.5856  5 Si 2.38-2.49, 3 Cu 2.61-2.65
Si 0.5000 0.7906 0.7949  5 Cu 2.38-2.49, 1 Si 2.41
Si 0.5000 0.2094 0.7949  5 Cu 2.38-2.49, 1 Si 2.41
Si 0.7906 0.5000 0.2051  5 Cu 2.38-2.49, 1 Si 2.41
Si 0.2094 0.5000 0.2051  5 Cu 2.38-2.49, 1 Si 2.41
Si 0.2906 0.0000 0.2949  5 Cu 2.38-2.49, 1 Si 2.41
Si 0.7094 0.0000 0.2949  5 Cu 2.38-2.49, 1 Si 2.41
Si 0.0000 0.2906 0.7051  5 Cu 2.38-2.49, 1 Si 2.41
Si 0.0000 0.7094 0.7051  5 Cu 2.38-2.49, 1 Si 2.41


[3]
MnZnRh2: relaxed, PBE.

Computed properties:
Size of the total moment ... 3.6 μB per formula unit
ΔE_f ... -0.145 eV per atom
Space-group type ... R-3m
V ... 14.143 Å³/atom

a = 8.3635 Å, b = 8.3635 Å, c = 8.3635 Å
α = 19.43°, β = 19.43°, γ = 19.43°
With the nearest neighbours (Å) after each atom.
Element x y z (fractional)
Mn 0.7500 0.7500 0.7500  6 Rh 2.57, 6 Mn 2.82
Rh 0.0025 0.0025 0.0025  3 Mn 2.57, 3 Zn 2.67, 6 Rh 2.82
Rh 0.4975 0.4975 0.4975  3 Mn 2.57, 3 Zn 2.67, 6 Rh 2.82
Zn 0.2500 0.2500 0.2500  6 Rh 2.67, 6 Zn 2.82


[4]
ErPdRh4: relaxed, PBE.

Computed properties:
Size of the total moment ... 1.2 μB per formula unit
ΔE_f ... -0.306 eV per atom
Space-group type ... F-43m
V ... 16.646 Å³/atom

a = 5.2078 Å, b = 5.2078 Å, c = 5.2078 Å
α = 60.00°, β = 60.00°, γ = 60.00°
With the nearest neighbours (Å) after each atom.
Element x y z (fractional)
Rh 0.6247 0.6247 0.1260  6 Rh 2.60-2.61
Rh 0.6247 0.1260 0.6247  6 Rh 2.60-2.61
Rh 0.6247 0.6247 0.6247  6 Rh 2.60-2.61
Rh 0.1260 0.6247 0.6247  6 Rh 2.60-2.61
Pd 0.2500 0.2500 0.2500  12 Rh 3.05, 4 Er 3.19
Er 0.0000 0.0000 0.0000  12 Rh 3.05, 4 Pd 3.19


[5]
Si3W: relaxed, PBE.

Computed properties:
Size of the total moment ... 0.0 μB per formula unit
Space-group type ... P-6m2
V ... 14.984 Å³/atom
ΔE_f (raw) ... 0.3214 eV per atom
Excess energy over the best structure of this formula in the dataset ... 1.305 eV per formula unit

a = 2.9937 Å, b = 2.9937 Å, c = 7.7226 Å
α = 90.00°, β = 90.00°, γ = 120.00°
With the nearest neighbours (Å) after each atom.
Element x y z (fractional)
Si 0.0000 0.0000 0.9983  3 W 2.58, 3 Si 2.60
Si 0.0000 0.0000 0.5017  3 W 2.58, 3 Si 2.60
Si 0.6667 0.3333 0.2500  6 Si 2.60
W 0.6667 0.3333 0.7500  6 Si 2.58


[6]
HoScCdCu: relaxed, PBE.

Computed properties:
Size of the total moment ... 0.0 μB per formula unit
ΔE_f ... -0.213 eV per atom
Space-group type ... F-43m
V ... 21.692 Å³/atom
Excess energy over the best structure of this formula in the dataset ... 0.253 eV per formula unit

a = 4.9693 Å, b = 4.9693 Å, c = 4.9693 Å
α = 60.00°, β = 60.00°, γ = 60.00°
With the nearest neighbours (Å) after each atom.
Element x y z (fractional)
Sc 0.0000 0.0000 0.0000  4 Cd 3.04, 4 Cu 3.04
Ho 0.5000 0.5000 0.5000  4 Cu 3.04, 4 Cd 3.04
Cu 0.2500 0.2500 0.2500  4 Sc 3.04, 4 Ho 3.04
Cd 0.7500 0.7500 0.7500  4 Ho 3.04, 4 Sc 3.04


[7]
K3Sc3US8: relaxed, PBE.

Computed properties:
Size of the total moment ... 2.0 μB per formula unit
Space-group type ... R-3m
V ... 25.389 Å³/atom
ΔE_f (raw) ... -1.6901 eV per atom

a = 7.6889 Å, b = 7.6882 Å, c = 8.6631 Å
α = 116.34°, β = 90.00°, γ = 120.01°
With the nearest neighbours (Å) after each atom.
Element x y z (fractional)
K 0.0000 0.0000 0.0000  6 S 3.20-3.21
K 0.0000 0.5000 0.0000  6 S 3.20-3.21
K 0.5000 0.5000 0.0000  6 S 3.20-3.21
Sc 0.5000 0.0000 0.5000  6 S 2.62-2.63
Sc 0.5000 0.5000 0.5000  6 S 2.62-2.63
Sc 0.0000 0.5000 0.5000  6 S 2.62-2.63
U 0.0000 0.0000 0.5000  6 S 2.68
S 0.2699 0.5397 0.3097  3 Sc 2.63
S 0.7301 0.4603 0.6903  3 Sc 2.63
S 0.7653 0.5306 0.3080  2 Sc 2.62, 1 U 2.68
S 0.2347 0.4694 0.6920  2 Sc 2.62, 1 U 2.68
S 0.7653 0.0427 0.3080  2 Sc 2.62, 1 U 2.68
S 0.2347 0.9573 0.6920  2 Sc 2.62, 1 U 2.68
S 0.2774 0.0427 0.3080  2 Sc 2.62, 1 U 2.68
S 0.7226 0.9573 0.6920  2 Sc 2.62, 1 U 2.68


[8]
Sm2GaAgTe5: relaxed, PBE.

Computed properties:
Size of the total moment ... 0.0 μB per formula unit
Space-group type ... Cmc2_1
V ... 29.533 Å³/atom
ΔE_f (raw) ... -0.8477 eV per atom

a = 4.2567 Å, b = 10.0139 Å, c = 12.7626 Å
α = 90.00°, β = 90.00°, γ = 102.27°
With the nearest neighbours (Å) after each atom.
Element x y z (fractional)
Sm 0.8714 0.7427 0.7995  7 Te 3.15-3.33
Sm 0.1159 0.2318 0.6806  8 Te 3.22-3.37
Sm 0.1286 0.2573 0.2995  7 Te 3.15-3.33
Sm 0.8841 0.7682 0.1806  8 Te 3.22-3.37
Ga 0.5747 0.1494 0.9590  4 Te 2.64-2.67
Ga 0.4253 0.8506 0.4590  4 Te 2.64-2.67
Ag 0.7814 0.5628 0.5159  5 Te 2.83-3.11
Ag 0.2186 0.4372 0.0159  5 Te 2.83-3.11
Te 0.3626 0.7253 0.9944  1 Ag 2.83
Te 0.6873 0.3747 0.8445  1 Ga 2.64
Te 0.5016 0.0032 0.7820  1 Ga 2.67
Te 0.2867 0.5735 0.6727  2 Ag 2.92, 2 Sm 3.15
Te 0.9581 0.9163 0.5755  2 Ga 2.67
Te 0.6374 0.2747 0.4944  1 Ag 2.83
Te 0.3127 0.6253 0.3445  1 Ga 2.64
Te 0.4984 0.9968 0.2820  1 Ga 2.67
Te 0.7133 0.4265 0.1727  2 Ag 2.92, 2 Sm 3.15
Te 0.0419 0.0837 0.0755  2 Ga 2.67


[9]
CoSiTeMo2: relaxed, PBE.

Computed properties:
Size of the total moment ... 2.0 μB per formula unit
Space-group type ... P4/mmm
V ... 24.355 Å³/atom
ΔE_f (raw) ... 2.2960 eV per atom

a = 4.9114 Å, b = 5.0482 Å, c = 4.9114 Å
α = 90.00°, β = 90.00°, γ = 90.00°
With the nearest neighbours (Å) after each atom.
Element x y z (fractional)
Mo 0.0000 0.0000 0.5000  2 Te 2.46
Mo 0.5000 0.0000 0.0000  2 Te 2.46
Te 0.0000 0.0000 0.0000  4 Mo 2.46, 2 Si 2.52
Co 0.5000 0.5000 0.5000  4 Si 3.47, 8 Mo 3.52
Si 0.0000 0.5000 0.0000  2 Te 2.52


[10]
HoNbSi: relaxed, PBE.

Computed properties:
Size of the total moment ... 0.0 μB per formula unit
Space-group type ... Pmn2_1
V ... 21.176 Å³/atom
ΔE_f (raw) ... -0.2849 eV per atom

a = 5.6280 Å, b = 7.4059 Å, c = 9.1448 Å
α = 90.00°, β = 90.00°, γ = 90.00°
With the nearest neighbours (Å) after each atom.
Element x y z (fractional)
Si 0.1202 0.2294 0.2290  3 Nb 2.53-2.61, 1 Si 2.63, 1 Ho 2.80
Si 0.1202 0.2294 0.7710  3 Nb 2.53-2.61, 1 Si 2.63, 1 Ho 2.80
Si 0.8469 0.1771 0.0000  2 Si 2.63, 3 Nb 2.77-2.78
Si 0.3469 0.8229 0.5000  2 Si 2.63, 3 Nb 2.77-2.78
Si 0.6202 0.7706 0.2710  3 Nb 2.53-2.61, 1 Si 2.63, 1 Ho 2.80
Si 0.6202 0.7706 0.7290  3 Nb 2.53-2.61, 1 Si 2.63, 1 Ho 2.80
Nb 0.8426 0.4982 0.8422  3 Si 2.59-2.78, 1 Nb 2.89
Nb 0.8426 0.4982 0.1578  3 Si 2.59-2.78, 1 Nb 2.89
Nb 0.6278 0.8420 0.0000  3 Si 2.53-2.77
Nb 0.3426 0.5018 0.3422  3 Si 2.59-2.78, 1 Nb 2.89
Nb 0.3426 0.5018 0.6578  3 Si 2.59-2.78, 1 Nb 2.89
Nb 0.1278 0.1580 0.5000  3 Si 2.53-2.77
Ho 0.8710 0.5931 0.5000  3 Si 2.85-3.17, 2 Nb 3.10
Ho 0.6143 0.1462 0.3081  4 Si 2.80-3.12, 1 Nb 3.06
Ho 0.6143 0.1462 0.6919  4 Si 2.80-3.12, 1 Nb 3.06
Ho 0.3710 0.4069 0.0000  3 Si 2.85-3.17, 2 Nb 3.10
Ho 0.1143 0.8538 0.1919  4 Si 2.80-3.12, 1 Nb 3.06
Ho 0.1143 0.8538 0.8081  4 Si 2.80-3.12, 1 Nb 3.06


[11]
SrEuAg: relaxed, PBE.

Computed properties:
Size of the total moment ... 7.9 μB per formula unit
ΔE_f ... -0.026 eV per atom
Space-group type ... P3m1
V ... 36.662 Å³/atom
Excess energy over the best structure of this formula in the dataset ... 0.467 eV per formula unit

a = 4.5530 Å, b = 5.2815 Å, c = 5.2815 Å
α = 120.00°, β = 90.00°, γ = 90.00°
With the nearest neighbours (Å) after each atom.
Element x y z (fractional)
Eu 0.0892 0.0000 0.0000  3 Ag 3.20
Sr 0.6089 0.6667 0.3333  3 Ag 3.35, 3 Eu 3.75
Ag 0.3018 0.3333 0.6667  3 Eu 3.20, 3 Sr 3.35


[12]
CaPuPH: relaxed, PBE.

Computed properties:
Size of the total moment ... 5.7 μB per formula unit
Space-group type ... P4/nmm
V ... 19.175 Å³/atom
Excess energy over the best structure of this formula in the dataset ... 0.000 eV per formula unit

a = 4.1329 Å, b = 4.1329 Å, c = 8.9809 Å
α = 90.00°, β = 90.00°, γ = 90.00°
With the nearest neighbours (Å) after each atom.
Element x y z (fractional)
Ca 0.0000 0.5000 0.8775  4 H 2.34
Ca 0.5000 0.0000 0.1225  4 H 2.34
Pu 0.0000 0.0000 0.5000  4 P 2.85, 4 Pu 2.92
Pu 0.5000 0.5000 0.5000  4 P 2.85, 4 Pu 2.92
P 0.5000 0.0000 0.7185  4 Pu 2.85
P 0.0000 0.5000 0.2815  4 Pu 2.85
H 0.5000 0.5000 0.0000  4 Ca 2.34
H 0.0000 0.0000 0.0000  4 Ca 2.34